[1]
A plane-wave DFT calculation with PBE with a Hubbard U was carried out for a relaxed K3V2RhO8 crystal.

Lattice parameters (Å, degrees): 5.740 5.740 7.527 90.00 90.00 120.00
Sites, in units of the cell vectors:
1 K 0.333 0.667 0.692
2 K 0.667 0.333 0.308
3 K 0.000 0.000 0.000
4 V 0.333 0.667 0.262
5 V 0.667 0.333 0.738
6 Rh 0.000 0.000 0.500
7 O 0.333 0.667 0.038
8 O 0.667 0.333 0.962
9 O 0.165 0.835 0.339
10 O 0.835 0.165 0.661
11 O 0.165 0.331 0.339
12 O 0.835 0.669 0.661
13 O 0.669 0.835 0.339
14 O 0.331 0.165 0.661

## Properties
Symmetry: No. 164

***

[2]
A plane-wave DFT calculation with PBE with a Hubbard U was carried out for a relaxed K2VRhO4 crystal.

Lattice parameters (Å, degrees): 5.521 5.521 5.521 105.79 111.34 111.34
Sites, in units of the cell vectors:
1 K 0.500 0.750 0.250
2 K 0.000 0.000 0.000
3 V 0.000 0.500 0.500
4 Rh 0.500 0.250 0.750
5 O 0.689 0.463 0.549
6 O 0.086 0.226 0.537
7 O 0.914 0.451 0.140
8 O 0.311 0.860 0.774

## Properties
Symmetry: No. 82

***

[3]
A plane-wave DFT calculation with PBE with a Hubbard U was carried out for a relaxed K2VRhO5 crystal.

Lattice parameters (Å, degrees): 3.346 7.789 10.919 90.00 90.00 102.40
Sites, in units of the cell vectors:
1 K 0.868 0.737 0.813
2 K 0.129 0.258 0.670
3 K 0.132 0.263 0.313
4 K 0.871 0.742 0.170
5 V 0.580 0.159 0.960
6 V 0.420 0.841 0.460
7 Rh 0.799 0.598 0.509
8 Rh 0.201 0.402 0.009
9 O 0.325 0.651 0.996
10 O 0.691 0.382 0.889
11 O 0.519 0.038 0.832
12 O 0.310 0.620 0.620
13 O 0.946 0.892 0.536
14 O 0.675 0.349 0.496
15 O 0.309 0.618 0.389
16 O 0.481 0.962 0.332
17 O 0.690 0.380 0.120
18 O 0.054 0.108 0.036

## Properties
Symmetry: No. 36

***

Number 1: uncorrected energy -6.39 eV/atom, volume 214.7 Å³/f.u.. Number 2: uncorrected energy -6.01 eV/atom, volume 129.2 Å³/f.u.. Number 3: uncorrected energy -6.04 eV/atom, volume 139.0 Å³/f.u..